{
  "formula": "NaCdCoF6",
  "functional": "GGA+U",
  "state": "optimized geometry",
  "spacegroup": "P-31c",
  "magnetic_moment_mub_per_fu": 0.09,
  "e_tot_ev_per_cell": -76.12,
  "lattice": [[5.424, 0.000, 0.000], [-2.712, 4.697, 0.000], [0.000, 0.000, 9.220]],
  "species": ["Na", "Na", "Cd", "Cd", "Co", "Co", "F", "F", "F", "F", "F", "F", "F", "F", "F", "F", "F", "F"],
  "frac_coords": [[0.333, 0.667, 0.250], [0.667, 0.333, 0.750], [0.000, 0.000, 0.000], [0.000, 0.000, 0.500], [0.333, 0.667, 0.750], [0.667, 0.333, 0.250], [0.053, 0.379, 0.634], [0.053, 0.674, 0.866], [0.326, 0.379, 0.866], [0.326, 0.947, 0.634], [0.379, 0.053, 0.134], [0.379, 0.326, 0.366], [0.621, 0.674, 0.634], [0.621, 0.947, 0.866], [0.674, 0.053, 0.366], [0.674, 0.621, 0.134], [0.947, 0.326, 0.134], [0.947, 0.621, 0.366]]
}